CrSb3Pb4O13 PBE with a Hubbard U optimized geometry; DFT total energy = -129.5 eV/cell
1.0
7.476 -0.003 -0.002
3.671 6.513 -0.002
3.671 2.144 6.150
Cr Sb Pb O
1 3 4 13
direct
0.501 0.501 0.501 Cr
0.500 0.500 0.999 Sb
0.500 0.999 0.500 Sb
0.999 0.500 0.500 Sb
0.002 0.002 0.002 Pb
0.001 0.001 0.495 Pb
0.001 0.495 0.001 Pb
0.495 0.001 0.001 Pb
0.876 0.876 0.876 O
0.573 0.573 0.172 O
0.573 0.172 0.573 O
0.172 0.573 0.573 O
0.177 0.177 0.574 O
0.177 0.574 0.177 O
0.574 0.177 0.177 O
0.429 0.429 0.824 O
0.429 0.824 0.429 O
0.824 0.429 0.429 O
0.821 0.821 0.427 O
0.821 0.427 0.821 O
0.427 0.821 0.821 O